Material: CdFeSe2
Method: DFT, GGA-PBE
State: optimized geometry

As for the spin magnetization: 0.000 Bohr magnetons per cell. The value obtained for the density of states at the Fermi level is 1.23 states/eV per cell. For the energy relative to the elements, uncorrected, the calculation gives 0.220 eV per formula unit.

```
CdFeSe2
1.0
-0.885 -2.245 -1.625
-1.429 -1.091 2.287
-7.423 4.670 -2.410
Fe Se Cd
1 2 1
Direct
0.500 0.500 0.770
0.000 0.000 0.906
0.500 0.500 0.275
0.000 0.000 0.549
```

---

Material: CdFeSe2
Method: DFT, GGA-PBE
State: optimized geometry

As for the spin magnetization: 3.184 Bohr magnetons per cell. The value obtained for the density of states at the Fermi level is 4.42 states/eV per cell. For the energy relative to the elements, uncorrected, the calculation gives 1.139 eV per formula unit.

```
CdFeSe2
1.0
4.784 0.000 0.000
0.000 4.784 0.000
0.000 0.000 3.410
Fe Se Cd
1 2 1
Direct
0.000 0.500 0.500
0.500 0.500 0.000
0.000 0.000 0.000
0.500 0.000 0.500
```

---

Material: CdFe3Se
Method: DFT, GGA-PBE
State: optimized geometry

As for the spin magnetization: 6.250 Bohr magnetons per cell. The value obtained for the density of states at the Fermi level is 2.66 states/eV per cell. For the energy relative to the elements, uncorrected, the calculation gives 2.773 eV per formula unit. For the offset from the most stable computed form, the calculation gives 0.00 eV/f.u.

```
CdFe3Se
1.0
-2.332 0.134 -3.731
3.462 -1.569 -2.220
-1.398 -4.110 0.726
Se Cd Fe
1 1 3
Direct
0.000 0.000 0.000
0.500 0.500 0.500
0.000 0.500 0.000
0.500 0.000 0.000
0.000 0.000 0.500
```

---

Material: Cd2FeSe
Method: DFT, GGA-PBE
State: optimized geometry

As for the spin magnetization: 0.184 Bohr magnetons per cell. The value obtained for the density of states at the Fermi level is 2.49 states/eV per cell. For the energy relative to the elements, uncorrected, the calculation gives 0.163 eV per formula unit.

```
Cd2FeSe
1.0
9.216 0.052 0.031
8.642 3.200 0.031
8.642 1.574 2.787
Fe Cd Se
1 2 1
Direct
0.491 0.491 0.491
0.234 0.234 0.234
0.999 0.999 0.999
0.776 0.776 0.776
```